(1)
# Ni2CI | Alexandria via LeMat-Bulk | PBE | optimized geometry
# - Raw formation energy: 588 meV per atom
# - Energy above the most stable polymorph in this dataset: 359 meV/atom
# - DOS(E_F): 0.731 states/eV/atom
# - Uncorrected energy: -5.00 eV/atom
data_Ni2CI
_chemical_formula_sum 'Ni8 C4 I4'
_space_group_name_H-M_alt 'I -4 2 d'
_space_group_IT_number 122
_space_group_name_Hall 'I -4 2bw'
_cell_length_a 4.8078
_cell_length_b 4.8078
_cell_length_c 10.8555
_cell_angle_alpha 90.00
_cell_angle_beta 90.00
_cell_angle_gamma 90.00
loop_
_atom_site_label
_atom_site_fract_x
_atom_site_fract_y
_atom_site_fract_z
Ni1 0.1135 0.2500 0.1250
C1 0.0000 0.0000 0.0000
I1 0.0000 0.0000 0.5000



(2)
# LaCeRh2 | Alexandria via LeMat-Bulk | PBE | optimized geometry
# - Energy of formation from the pure elements: -0.7479 eV per atom
# - DOS(E_F): 1.082 states/eV/atom
# - Uncorrected energy: -7.14 eV/atom
data_LaCeRh2
_chemical_formula_sum 'La4 Ce4 Rh8'
_space_group_name_H-M_alt 'P 1 2/c 1'
_space_group_IT_number 13
_cell_length_a 5.6711
_cell_length_b 5.7063
_cell_length_c 11.6609
_cell_angle_alpha 90.00
_cell_angle_beta 104.80
_cell_angle_gamma 90.00
loop_
_space_group_symop_operation_xyz
'x,y,z'
'-x,-y,-z'
'-x,y,-z+1/2'
'x,-y,z+1/2'
loop_
_atom_site_label
_atom_site_fract_x
_atom_site_fract_y
_atom_site_fract_z
La1 0.1932 0.1289 0.1406
Ce1 0.3085 0.3724 0.8643
Rh1 0.1696 0.3744 0.6015
Rh2 0.3363 0.1453 0.4133



(3)
# GaSiF2 | Alexandria via LeMat-Bulk | PBE | optimized geometry
# - Raw formation energy: -1476 meV per atom
# - Energy above the most stable polymorph in this dataset: 0 meV/atom
# - DOS(E_F): 0.205 states/eV/atom
# - Uncorrected energy: -4.52 eV/atom
data_GaSiF2
_chemical_formula_sum 'Ga3 Si3 F6'
_space_group_name_H-M_alt 'R -3 m'
_space_group_IT_number 166
_space_group_name_Hall '-R 3 2"'
_cell_length_a 2.7780
_cell_length_b 2.7780
_cell_length_c 23.9603
_cell_angle_alpha 90.00
_cell_angle_beta 90.00
_cell_angle_gamma 120.00
loop_
_atom_site_label
_atom_site_fract_x
_atom_site_fract_y
_atom_site_fract_z
Ga1 0.0000 0.0000 0.0000
Si1 0.0000 0.0000 0.5000
F1 0.0000 0.0000 0.4276



(4)
# ErTmHf | Alexandria via LeMat-Bulk | PBE | optimized geometry
# - Energy above the most stable polymorph in this dataset: 38 meV/atom
# - Energy of formation from the pure elements: 0.1124 eV per atom
# - DOS(E_F): 1.209 states/eV/atom
# - Uncorrected energy: -6.22 eV/atom
data_ErTmHf
_chemical_formula_sum 'Er1 Tm1 Hf1'
_space_group_name_H-M_alt 'P 3 m 1'
_space_group_IT_number 156
_cell_length_a 3.3577
_cell_length_b 3.3577
_cell_length_c 8.3211
_cell_angle_alpha 90.00
_cell_angle_beta 90.00
_cell_angle_gamma 120.00
loop_
_space_group_symop_operation_xyz
'x,y,z'
'-y,x-y,z'
'-x+y,-x,z'
'-y,-x,z'
'-x+y,y,z'
'x,x-y,z'
loop_
_atom_site_label
_atom_site_fract_x
_atom_site_fract_y
_atom_site_fract_z
Er1 0.0000 0.0000 0.0000
Tm1 0.6667 0.3333 0.3701
Hf1 0.3333 0.6667 0.6846



(5)
# NdDyRh | Alexandria via LeMat-Bulk | PBE | optimized geometry
# - Energy above the most stable polymorph in this dataset: 19 meV/atom
# - Energy of formation from the pure elements: -0.5050 eV per atom
# - DOS(E_F): 1.098 states/eV/atom
# - Uncorrected energy: -6.08 eV/atom
data_NdDyRh
_chemical_formula_sum 'Nd4 Dy4 Rh4'
_space_group_name_H-M_alt 'F -4 3 m'
_space_group_IT_number 216
_space_group_name_Hall 'F -4 2 3'
_cell_length_a 6.9082
_cell_length_b 6.9082
_cell_length_c 6.9082
_cell_angle_alpha 90.00
_cell_angle_beta 90.00
_cell_angle_gamma 90.00
loop_
_atom_site_label
_atom_site_fract_x
_atom_site_fract_y
_atom_site_fract_z
Nd1 0.0000 0.0000 0.0000
Dy1 0.0000 0.0000 0.5000
Rh1 0.2500 0.2500 0.2500



(6)
# RbTlF2 | Alexandria via LeMat-Bulk | PBE | optimized geometry
# - Raw formation energy: -2169 meV per atom
# - Energy above the most stable polymorph in this dataset: 36 meV/atom
# - DOS(E_F): 0.000 states/eV/atom
# - Uncorrected energy: -3.94 eV/atom
data_RbTlF2
_chemical_formula_sum 'Rb3 Tl3 F6'
_space_group_name_H-M_alt 'R 3 m'
_space_group_IT_number 160
_space_group_name_Hall 'R 3 -2"'
_cell_length_a 3.9188
_cell_length_b 3.9188
_cell_length_c 20.8489
_cell_angle_alpha 90.00
_cell_angle_beta 90.00
_cell_angle_gamma 120.00
loop_
_atom_site_label
_atom_site_fract_x
_atom_site_fract_y
_atom_site_fract_z
Rb1 0.0000 0.0000 0.0000
Tl1 0.0000 0.0000 0.8304
F1 0.0000 0.0000 0.4146
F2 0.0000 0.0000 0.5824